The following is a DFT calculation (GGA-PBE) of a geometry-optimized Cs2Na2PaS4 structure.

Raw total energy, eV/f.u.: -42.09

Cell: 4.356 8.195 8.380 Å, 109.83 105.06 90.00°
Site moments in Bohr magnetons follow the coordinates.
Sites, in units of the cell vectors:
S  0.507  0.784  0.013  -0.02
S  0.181  0.162  0.363  -0.01
S  0.493  0.216  0.987  -0.02
Cs  0.138  0.554  0.275  0.00
Na  0.679  0.973  0.359  0.00
Na  0.321  0.027  0.641  0.00
S  0.819  0.838  0.637  -0.01
Pa  0.000  0.000  0.000  1.02
Cs  0.862  0.446  0.725  0.00


The following is a DFT calculation (GGA-PBE) of a geometry-optimized CsNa2PaSe4 structure.

Raw total energy, eV/f.u.: -36.11

Cell: 7.855 7.312 7.312 Å, 64.96 57.51 57.51°
Sites, in units of the cell vectors:
Se  0.460  0.144  0.540
Pa  0.500  0.500  0.500
Na  0.750  0.750  0.750
Se  0.540  0.460  0.856
Na  0.250  0.250  0.250
Se  0.144  0.856  0.460
Cs  0.000  0.000  0.000
Se  0.856  0.540  0.144


The following is a DFT calculation (GGA-PBE) of a geometry-optimized Cs2Na2PaSe4 structure.

Raw total energy, eV/f.u.: -38.95

Cell: 4.528 8.499 8.688 Å, 109.67 105.11 90.00°
Site moments in Bohr magnetons follow the coordinates.
Sites, in units of the cell vectors:
Cs  0.137  0.558  0.274  0.00
Se  0.183  0.169  0.366  -0.02
Pa  0.000  0.000  0.000  1.05
Na  0.321  0.025  0.641  0.00
Se  0.506  0.779  0.012  -0.02
Se  0.817  0.831  0.634  -0.02
Na  0.679  0.975  0.359  0.00
Se  0.494  0.221  0.988  -0.02
Cs  0.863  0.442  0.726  0.00


- What is the raw total energy in the second record?
  -36.11 eV/f.u.